Computed, not measured: a geometry-optimized Tl2FeP2O6 structure at the PBE with a Hubbard U level of DFT.

As for the density of states at the Fermi level: 0.0 states/eV/f.u. For the final energy, the calculation gives -6.29 eV per atom. The calculated density is 6.45 g/cm³. The volume comes out at 321 Å³/cell.

The structure belongs to space group C2/m (No. 12); the cell edges are 9.876, 5.844 and 6.560 Å and the angles 90.00°, 122.08° and 90.00°. The distinct sites, in fractional coordinates, are Tl at (0.224, 0.000, 0.171), Fe at (0.000, 0.000, 0.500), P at (0.070, 0.500, 0.202), O at (0.023, 0.279, 0.279) and O at (0.248, 0.500, 0.276).